Here is a relaxed PrSnBi2O8 crystal from Alexandria via LeMat-Bulk. Energies are from PBE.

Calculated values
D(E_F) = 2.00 states/eV/cell
size of the total moment = 0.0 μB/f.u.
energy relative to the elements, uncorrected = -1552 meV/atom

Geometry as extended XYZ:
```
12
Lattice="3.5321 -3.6610 0.0000 3.5321 3.6610 0.0000 0.0000 0.0000 7.0544" Properties=species:S:1:pos:R:3 pbc="T T T"
Pr 0.0000 0.0000 0.0000
Sn 0.0000 0.0000 3.5272
Bi 3.5321 0.0000 1.8248
Bi 3.5321 0.0000 5.2296
O 1.3574 0.0000 1.9493
O 1.3574 0.0000 5.1051
O 3.5321 1.4727 3.5272
O 3.5321 1.2910 0.0000
O 3.5321 -1.2910 0.0000
O 3.5321 -1.4727 3.5272
O 5.7067 0.0000 1.9493
O 5.7067 0.0000 5.1051
```


Here is a relaxed SrPrBi2O8 crystal from Alexandria via LeMat-Bulk. Energies are from PBE.

Calculated values
D(E_F) = 8.07 states/eV/cell
size of the total moment = 1.1 μB/f.u.
energy relative to the elements, uncorrected = -1605 meV/atom

Geometry as extended XYZ:
```
12
Lattice="-2.8199 2.8199 5.7884 2.8199 -2.8199 5.7884 2.8199 2.8199 -5.7884" Properties=species:S:1:pos:R:3 pbc="T T T"
Sr 0.0000 0.0000 0.0000
Pr 2.8199 0.0000 2.8942
Bi 0.0000 0.0000 5.7884
Bi 0.0000 2.8199 2.8942
O 1.4803 1.1475 -1.8176
O 1.3795 -1.0559 4.6593
O 1.7640 1.4403 1.1291
O 1.6723 -1.3395 7.6060
O 1.4403 3.8758 -1.1291
O 1.3395 1.6723 3.9708
O 1.0559 1.3795 6.9175
O 1.1475 4.1594 1.8176
```


Here is a relaxed Sr2Pr4Bi3O2 crystal from Alexandria via LeMat-Bulk. Energies are from PBE.

Calculated values
D(E_F) = 4.60 states/eV/cell
size of the total moment = 0.0 μB/f.u.
energy relative to the elements, uncorrected = -1560 meV/atom

Geometry as extended XYZ:
```
11
Lattice="-2.4718 2.4718 13.4053 2.4718 -2.4718 13.4053 2.4718 2.4718 -13.4053" Properties=species:S:1:pos:R:3 pbc="T T T"
Sr 0.0000 0.0000 5.2126
Sr 0.0000 0.0000 21.5979
Pr 2.4718 0.0000 2.2003
Pr 2.4718 0.0000 11.2050
Pr 0.0000 2.4718 2.2003
Pr 0.0000 2.4718 11.2050
Bi 0.0000 0.0000 8.7290
Bi 0.0000 0.0000 13.4053
Bi 0.0000 0.0000 18.0815
O 0.0000 0.0000 2.6472
O 0.0000 0.0000 24.1633
```


Here is a relaxed SrPrBiO crystal from Alexandria via LeMat-Bulk. Energies are from PBE.

Calculated values
D(E_F) = 2.04 states/eV/cell
size of the total moment = 0.0 μB/f.u.
energy relative to the elements, uncorrected = -1892 meV/atom

Geometry as extended XYZ:
```
8
Lattice="4.8254 0.0000 0.0000 0.0000 4.8254 0.0000 0.0000 0.0000 9.4355" Properties=species:S:1:pos:R:3 pbc="T T T"
Sr 1.2063 1.2063 1.5388
Sr 3.6190 3.6190 7.8967
Pr 1.2063 3.6190 4.7177
Pr 3.6190 1.2063 4.7177
Bi 1.2063 1.2063 7.4176
Bi 3.6190 3.6190 2.0179
O 1.2063 1.2063 4.0588
O 3.6190 3.6190 5.3767
```


Here is a relaxed SrPrZnBiO6 crystal from Alexandria via LeMat-Bulk. Energies are from PBE.

Calculated values
D(E_F) = 0.65 states/eV/cell
size of the total moment = 0.0 μB/f.u.
energy relative to the elements, uncorrected = -1850 meV/atom

Geometry as extended XYZ:
```
10
Lattice="0.0000 4.1179 4.1179 4.1179 0.0000 4.1179 4.1179 4.1179 0.0000" Properties=species:S:1:pos:R:3 pbc="T T T"
Sr 0.0000 0.0000 0.0000
Pr 4.1179 4.1179 4.1179
Zn 6.1769 6.1769 6.1769
Bi 2.0590 2.0590 2.0590
O 6.1769 6.1769 4.1490
O 6.1769 4.1490 6.1769
O 8.2048 6.1769 6.1769
O 4.1490 6.1769 6.1769
O 6.1769 8.2048 6.1769
O 6.1769 6.1769 8.2048
```


Here is a relaxed TbPr2Bi2O2 crystal from Alexandria via LeMat-Bulk. Energies are from PBE.

Calculated values
D(E_F) = 3.34 states/eV/cell
size of the total moment = 0.0 μB/f.u.
energy relative to the elements, uncorrected = -1844 meV/atom

Geometry as extended XYZ:
```
7
Lattice="-2.2212 2.2212 8.4657 2.2212 -2.2212 8.4657 2.2212 2.2212 -8.4657" Properties=species:S:1:pos:R:3 pbc="T T T"
Tb 0.0000 0.0000 0.0000
Pr 0.0000 0.0000 6.6034
Pr 0.0000 0.0000 10.3279
Bi 0.0000 0.0000 3.2268
Bi 0.0000 0.0000 13.7045
O 2.2212 0.0000 0.0000
O 0.0000 2.2212 0.0000
```


Here is a relaxed PrTcBi2O8 crystal from Alexandria via LeMat-Bulk. Energies are from PBE.

Calculated values
D(E_F) = 0.27 states/eV/cell
size of the total moment = 0.0 μB/f.u.
energy relative to the elements, uncorrected = -1630 meV/atom

Geometry as extended XYZ:
```
12
Lattice="5.2515 0.0000 0.0000 0.0000 6.8627 0.0000 -0.1590 0.0000 5.2513" Properties=species:S:1:pos:R:3 pbc="T T T"
Pr 0.0000 0.0000 0.0000
Tc 0.0000 3.4313 0.0000
Bi 2.5463 1.7376 2.6257
Bi 2.5463 5.1251 2.6257
O 0.9184 1.9962 0.9631
O 0.9184 4.8665 0.9631
O 1.1776 3.4313 3.9758
O 1.5632 0.0000 3.5941
O 3.5293 0.0000 1.6572
O 3.9149 3.4313 1.2756
O 4.1741 1.9962 4.2883
O 4.1741 4.8665 4.2883
```


Here is a relaxed PrBiTeO6 crystal from Alexandria via LeMat-Bulk. Energies are from PBE.

Calculated values
D(E_F) = 0.00 states/eV/cell
size of the total moment = 0.0 μB/f.u.
energy relative to the elements, uncorrected = -1695 meV/atom

Geometry as extended XYZ:
```
18
Lattice="5.8210 0.0000 0.0000 -2.9105 5.0411 0.0000 0.0000 0.0000 9.3295" Properties=species:S:1:pos:R:3 pbc="T T T"
Pr 0.0000 3.3607 2.3324
Pr 2.9105 1.6804 6.9971
Bi 0.0000 0.0000 0.0000
Bi 0.0000 0.0000 4.6647
Te 0.0000 3.3607 6.9971
Te 2.9105 1.6804 2.3324
O -0.7886 1.9312 5.8992
O -1.6323 3.3925 8.0950
O 0.7886 1.9312 8.0950
O -0.8437 4.7585 5.8992
O 2.0668 0.2826 1.2345
O 1.2781 1.6486 3.4302
O 1.6323 3.3925 5.8992
O 0.8437 4.7585 8.0950
O 3.7542 0.2826 3.4302
O 2.1219 3.1099 1.2345
O 4.5428 1.6486 1.2345
O 3.6991 3.1099 3.4302
```


Here is a relaxed Pr2TiBiO6 crystal from Alexandria via LeMat-Bulk. Energies are from PBE.

Calculated values
D(E_F) = 3.09 states/eV/cell
size of the total moment = 0.7 μB/f.u.
energy relative to the elements, uncorrected = -2520 meV/atom

Geometry as extended XYZ:
```
10
Lattice="5.4817 0.0000 0.0000 0.0000 5.4817 0.0000 0.0000 0.0000 5.4751" Properties=species:S:1:pos:R:3 pbc="T T T"
Pr 0.0000 2.7409 0.0000
Pr 2.7409 0.0000 0.0000
Ti 0.0000 0.0000 3.3577
Bi 2.7409 2.7409 2.8733
O 0.0000 0.0000 1.5285
O 1.2689 1.2689 4.1174
O 1.2689 4.2128 4.1174
O 2.7409 2.7409 0.6438
O 4.2128 1.2689 4.1174
O 4.2128 4.2128 4.1174
```


Here is a relaxed PrTi6Bi7O24 crystal from Alexandria via LeMat-Bulk. Energies are from PBE.

Calculated values
D(E_F) = 0.00 states/eV/cell
size of the total moment = 0.0 μB/f.u.
energy relative to the elements, uncorrected = -2263 meV/atom

Geometry as extended XYZ:
```
38
Lattice="5.4577 0.0000 0.0000 0.0016 5.5112 0.0000 0.0024 2.6930 16.8420" Properties=species:S:1:pos:R:3 pbc="T T T"
Pr 0.0000 0.0000 0.0000
Ti 2.6893 5.5911 6.4416
Ti 2.6972 5.6114 2.0538
Ti 2.7101 2.8039 14.6915
Ti 5.3623 2.8603 2.0418
Ti 5.3858 2.8364 6.4396
Ti 5.3966 5.6100 14.6980
Bi 0.0840 2.3683 11.9144
Bi 2.5376 5.1172 11.9226
Bi 2.6379 2.5837 4.3787
Bi 2.6722 5.3581 16.7027
Bi 2.7963 2.4051 9.3330
Bi 5.2874 5.1633 9.3330
Bi 5.4448 5.3394 4.3757
O 0.3229 3.1117 3.9731
O 0.3271 5.6353 12.9379
O 1.0964 1.4682 1.6952
O 1.1226 4.4844 6.2225
O 1.1624 4.1930 15.3008
O 1.2665 3.8957 10.5650
O 1.3588 6.6504 10.5645
O 1.4758 6.9396 15.2768
O 1.4808 4.2627 1.6866
O 1.4876 1.7244 6.2164
O 2.2933 5.8496 3.9769
O 2.3042 2.9002 12.9333
O 2.9899 5.6135 8.1760
O 3.0683 0.3885 0.1194
O 3.7952 1.8937 2.3326
O 3.8098 4.5385 14.7924
O 3.9417 4.2100 5.8164
O 3.9946 3.8955 10.6085
O 4.0921 6.6525 10.6064
O 4.1259 1.4563 5.8175
O 4.2781 7.2851 14.7435
O 4.2964 4.6718 2.2800
O 4.9928 3.0855 0.1193
O 5.0887 2.8555 8.1747
```


Here is a relaxed Pr2Tl2BiO6 crystal from Alexandria via LeMat-Bulk. Energies are from PBE.

Calculated values
D(E_F) = 5.41 states/eV/cell
size of the total moment = 0.0 μB/f.u.
energy relative to the elements, uncorrected = -1824 meV/atom

Geometry as extended XYZ:
```
11
Lattice="3.1632 -5.4438 0.0000 3.1632 5.4438 0.0000 -2.0916 0.0000 6.4988" Properties=species:S:1:pos:R:3 pbc="T T T"
Pr 3.1632 3.6447 0.0000
Pr 3.1632 -3.6447 0.0000
Tl 2.1174 1.8123 3.2494
Tl 2.1174 -1.8123 3.2494
Bi 3.1632 0.0000 0.0000
O 0.0713 1.7668 5.3710
O 1.1860 0.0000 1.1741
O 0.0713 -1.7668 5.3710
O 4.1635 1.7668 1.1279
O 3.0488 0.0000 5.3247
O 4.1635 -1.7668 1.1279
```


Here is a relaxed PrTl2BiO4 crystal from Alexandria via LeMat-Bulk. Energies are from PBE.

Calculated values
size of the total moment = 0.0 μB/f.u.
energy relative to the elements, uncorrected = -1515 meV/atom

Geometry as extended XYZ:
```
16
Lattice="-3.7427 3.7653 5.3065 3.7427 -3.7653 5.3065 3.7427 3.7653 -5.3065" Properties=species:S:1:pos:R:3 pbc="T T T"
Pr 0.0000 0.0000 0.0000
Pr 0.0000 3.7653 0.0000
Tl 3.7427 0.0000 0.0000
Tl -1.8714 1.8827 2.6532
Tl 0.0000 0.0000 5.3065
Tl 1.8714 1.8827 2.6532
Bi 1.8714 1.8827 -2.6532
Bi 1.8714 -1.8827 2.6532
O 3.7427 3.4766 -2.8728
O 1.5489 1.8827 -0.2191
O 2.1938 -1.8827 5.0874
O 3.7427 -0.2888 2.8728
O 0.0000 4.0541 2.4337
O 1.5489 5.6480 0.2191
O 2.1938 1.8827 5.5255
O 0.0000 0.2888 8.1792
```


Please write out number 5 again, unchanged.
Here is a relaxed SrPrZnBiO6 crystal from Alexandria via LeMat-Bulk. Energies are from PBE.

Calculated values
D(E_F) = 0.65 states/eV/cell
size of the total moment = 0.0 μB/f.u.
energy relative to the elements, uncorrected = -1850 meV/atom

Geometry as extended XYZ:
```
10
Lattice="0.0000 4.1179 4.1179 4.1179 0.0000 4.1179 4.1179 4.1179 0.0000" Properties=species:S:1:pos:R:3 pbc="T T T"
Sr 0.0000 0.0000 0.0000
Pr 4.1179 4.1179 4.1179
Zn 6.1769 6.1769 6.1769
Bi 2.0590 2.0590 2.0590
O 6.1769 6.1769 4.1490
O 6.1769 4.1490 6.1769
O 8.2048 6.1769 6.1769
O 4.1490 6.1769 6.1769
O 6.1769 8.2048 6.1769
O 6.1769 6.1769 8.2048
```